# ScPd4

A geometry-optimized ScPd4 structure (GGA-PBE, the Alexandria database).

a b c (Å): 7.730 7.730 7.730
angles (deg): 148.11 137.90 53.77
Sites, in units of the cell vectors:
Sc: 0.355 0.105 0.250
Sc: 0.645 0.895 0.750
Pd: 0.000 0.500 0.500
Pd: 0.147 0.897 0.250
Pd: 0.191 0.694 0.497
Pd: 0.303 0.306 0.997
Pd: 0.500 0.500 0.000
Pd: 0.697 0.694 0.003
Pd: 0.809 0.306 0.503
Pd: 0.853 0.103 0.750


# Eu2As3Pt

A geometry-optimized Eu2As3Pt structure (GGA-PBE, the Alexandria database).

a b c (Å): 4.411 4.411 8.310
angles (deg): 90.00 90.00 120.00
Sites, in units of the cell vectors:
Eu: 0.000 0.000 0.241
Eu: 0.000 0.000 0.759
As: 0.333 0.667 0.500
As: 0.667 0.333 0.000
As: 0.667 0.333 0.500
Pt: 0.333 0.667 0.000


# Al2Cd2Bi

A geometry-optimized Al2Cd2Bi structure (GGA-PBE, the Alexandria database).

a b c (Å): 6.996 6.996 6.996
angles (deg): 143.91 143.91 51.96
Sites, in units of the cell vectors:
Al: 0.101 0.101 0.000
Al: 0.899 0.899 0.000
Cd: 0.250 0.750 0.500
Cd: 0.750 0.250 0.500
Bi: 0.500 0.500 0.000


# NdPuAs2

A geometry-optimized NdPuAs2 structure (GGA-PBE, the Alexandria database).

a b c (Å): 4.166 4.166 7.251
angles (deg): 90.00 90.00 120.00
Sites, in units of the cell vectors:
Nd: 0.000 0.000 0.000
Pu: 0.000 0.000 0.500
As: 0.333 0.667 0.739
As: 0.667 0.333 0.261


# PmPdRh4

A geometry-optimized PmPdRh4 structure (GGA-PBE, the Alexandria database).

a b c (Å): 5.263 5.263 5.263
angles (deg): 60.00 60.00 60.00
Sites, in units of the cell vectors:
Pm: 0.000 0.000 0.000
Pd: 0.750 0.750 0.750
Rh: 0.376 0.376 0.376
Rh: 0.376 0.376 0.873
Rh: 0.376 0.873 0.376
Rh: 0.873 0.376 0.376


# BaTc2Os2

A geometry-optimized BaTc2Os2 structure (GGA-PBE, the Alexandria database).

a b c (Å): 8.070 8.070 2.822
angles (deg): 90.00 90.00 90.00
Sites, in units of the cell vectors:
Ba: 0.000 0.000 0.000
Ba: 0.500 0.500 0.000
Tc: 0.115 0.385 0.000
Tc: 0.385 0.885 0.000
Tc: 0.615 0.115 0.000
Tc: 0.885 0.615 0.000
Os: 0.162 0.662 0.500
Os: 0.338 0.162 0.500
Os: 0.662 0.838 0.500
Os: 0.838 0.338 0.500


What ΔE_f values result from the calculations? In sequence: -0.624, -0.898, 0.186, -1.063, -0.242, 0.576 eV/atom.